# 1
Entry from Alexandria: crystalline Pr2NbCrN5 at its relaxed geometry (GGA-PBE).

Cell and atoms, written as CIF:
```
data_Pr2NbCrN5
_chemical_formula_sum 'Pr8 Nb4 Cr4 N20'
_cell_length_a 3.318
_cell_length_b 14.283
_cell_length_c 10.311
_cell_angle_alpha 90.00
_cell_angle_beta 90.00
_cell_angle_gamma 90.00
_space_group_name_H-M_alt 'C m c 21'
_space_group_IT_number 36
_space_group_name_Hall 'C 2c -2'
loop_
_atom_site_label
_atom_site_fract_x
_atom_site_fract_y
_atom_site_fract_z
_atom_site_occupancy
Pr1 0.000 0.118 0.000 1
Pr2 0.000 0.133 0.629 1
Nb1 0.000 0.209 0.334 1
Cr1 0.000 0.451 0.753 1
N1 0.000 0.037 0.329 1
N2 0.000 0.297 0.967 1
N3 0.000 0.324 0.692 1
N4 0.000 0.342 0.316 1
N5 0.000 0.499 0.098 1
```

As for the density of states at the Fermi level: 9.28 states/eV per cell.

***

# 2
Entry from Alexandria: crystalline TiPdBr2 at its relaxed geometry (GGA-PBE).

Cell and atoms, written as CIF:
```
data_TiPdBr2
_chemical_formula_sum 'Ti3 Pd3 Br6'
_cell_length_a 3.3628
_cell_length_b 3.3628
_cell_length_c 25.6750
_cell_angle_alpha 90.00
_cell_angle_beta 90.00
_cell_angle_gamma 120.00
_space_group_name_H-M_alt 'R -3 m'
_space_group_IT_number 166
_space_group_name_Hall '-R 3 2"'
loop_
_atom_site_label
_atom_site_fract_x
_atom_site_fract_y
_atom_site_fract_z
_atom_site_occupancy
Ti1 0.0000 0.0000 0.0000 1
Pd1 0.0000 0.0000 0.5000 1
Br1 0.0000 0.0000 0.4017 1
```

As for the density of states at the Fermi level: 9.37 states/eV per cell. As for the energy above the most stable polymorph in this dataset: 0 meV/atom.

***

The records above yield magnetic moment values of 1.5, 0.4 μB per formula unit, respectively.
The records above yield E values of -8.8821, -4.4973 eV per atom, respectively.